Material: ZnGa2WF
Method: DFT, PBE+U
State: optimized geometry

Structure (CIF):
```
data_ZnGa2WF
_space_group_name_H-M_alt 'P 1'
_space_group_IT_number 1
_cell_length_a 4.6850
_cell_length_b 4.6850
_cell_length_c 5.4456
_cell_angle_alpha 90.00
_cell_angle_beta 90.00
_cell_angle_gamma 90.00
loop_
_space_group_symop_operation_xyz
'x,y,z'
loop_
_atom_site_label
_atom_site_type_symbol
_atom_site_fract_x
_atom_site_fract_y
_atom_site_fract_z
Zn1 Zn 0.0000 0.0000 0.0000
Ga1 Ga 0.0000 0.5000 0.0000
Ga2 Ga 0.5000 0.0000 0.0000
W1 W 0.0000 0.0000 0.5000
F1 F 0.5000 0.5000 0.5000
```

## Properties
* raw total energy: -13.9 eV/cell
* SG: No. 123